# TlMoF6

An optimized crystal structure of TlMoF6 (GGA+U, Alexandria via LeMat-Bulk).

Properties
- V: 18.1 A^3/atom
- ΔE to the lowest computed polymorph: 0.000 eV per formula unit

Unit cell a=5.269 b=5.269 c=5.355 alpha=97.31 beta=97.31 gamma=96.27
Sites, in units of the cell vectors:
Tl (0.000, 0.000, 0.000)
Mo (0.500, 0.500, 0.500)
F (0.240, 0.587, 0.247)
F (0.253, 0.253, 0.599)
F (0.413, 0.760, 0.753)
F (0.587, 0.240, 0.247)
F (0.747, 0.747, 0.401)
F (0.760, 0.413, 0.753)

=====

# Tl2VMoF6

An optimized crystal structure of Tl2VMoF6 (GGA+U, Alexandria via LeMat-Bulk).

Properties
- Total DFT energy (no corrections): -5.094 eV/atom
- V: 16.4 A^3/atom

Unit cell a=6.135 b=6.135 c=6.135 alpha=121.84 beta=116.93 gamma=91.12
Sites, in units of the cell vectors:
Tl (0.245, 0.245, 0.000)
Tl (0.755, 0.755, 0.000)
V (0.500, 0.000, 0.500)
Mo (0.000, 0.500, 0.500)
F (0.252, 0.752, 0.500)
F (0.272, 0.259, 0.531)
F (0.272, 0.741, 0.013)
F (0.728, 0.259, 0.987)
F (0.728, 0.741, 0.469)
F (0.748, 0.248, 0.500)

=====

# Y2TlMoF

An optimized crystal structure of Y2TlMoF (GGA+U, Alexandria via LeMat-Bulk).

Properties
- Total DFT energy (no corrections): -4.946 eV/atom
- V: 27.5 A^3/atom

Unit cell a=5.774 b=5.774 c=4.120 alpha=90.00 beta=90.00 gamma=90.00
Sites, in units of the cell vectors:
Y (0.000, 0.500, 0.000)
Y (0.500, 0.000, 0.000)
Tl (0.000, 0.000, 0.500)
Mo (0.500, 0.500, 0.000)
F (0.500, 0.500, 0.500)

=====

# TlZnMoF6

An optimized crystal structure of TlZnMoF6 (GGA+U, Alexandria via LeMat-Bulk).

Properties
- Total DFT energy (no corrections): -4.777 eV/atom
- V: 18.0 A^3/atom

Unit cell a=7.722 b=7.722 c=7.722 alpha=121.45 beta=119.06 gamma=89.57
Sites, in units of the cell vectors:
Tl (0.297, 0.047, 0.250)
Tl (0.703, 0.953, 0.750)
Zn (0.000, 0.000, 0.500)
Zn (0.000, 0.500, 0.000)
Mo (0.000, 0.500, 0.500)
Mo (0.500, 0.500, 0.000)
F (0.053, 0.408, 0.227)
F (0.053, 0.826, 0.645)
F (0.059, 0.809, 0.250)
F (0.319, 0.174, 0.727)
F (0.319, 0.592, 0.145)
F (0.324, 0.574, 0.750)
F (0.676, 0.426, 0.250)
F (0.681, 0.408, 0.855)
F (0.681, 0.826, 0.273)
F (0.941, 0.191, 0.750)
F (0.947, 0.174, 0.355)
F (0.947, 0.592, 0.773)

=====

# Tl2ZnMoF6

An optimized crystal structure of Tl2ZnMoF6 (GGA+U, Alexandria via LeMat-Bulk).

Properties
- Total DFT energy (no corrections): -4.369 eV/atom
- V: 16.0 A^3/atom

Unit cell a=6.084 b=6.084 c=6.084 alpha=121.72 beta=117.30 gamma=90.89
Sites, in units of the cell vectors:
Tl (0.245, 0.245, 0.000)
Tl (0.755, 0.755, 0.000)
Zn (0.500, 0.000, 0.500)
Mo (0.000, 0.500, 0.500)
F (0.255, 0.755, 0.500)
F (0.274, 0.252, 0.526)
F (0.274, 0.748, 0.022)
F (0.726, 0.252, 0.978)
F (0.726, 0.748, 0.474)
F (0.745, 0.245, 0.500)

=====

# TlZn2MoF8

An optimized crystal structure of TlZn2MoF8 (GGA+U, Alexandria via LeMat-Bulk).

Properties
- Total DFT energy (no corrections): -4.504 eV/atom
- V: 16.6 A^3/atom

Unit cell a=8.636 b=8.636 c=8.636 alpha=36.04 beta=36.04 gamma=36.04
Sites, in units of the cell vectors:
Tl (0.000, 0.000, 0.000)
Zn (0.249, 0.249, 0.249)
Zn (0.751, 0.751, 0.751)
Mo (0.500, 0.500, 0.500)
F (0.128, 0.764, 0.454)
F (0.236, 0.546, 0.872)
F (0.326, 0.326, 0.326)
F (0.454, 0.128, 0.764)
F (0.546, 0.872, 0.236)
F (0.674, 0.674, 0.674)
F (0.764, 0.454, 0.128)
F (0.872, 0.236, 0.546)

=====

# TmMo2F11

An optimized crystal structure of TmMo2F11 (GGA+U, Alexandria via LeMat-Bulk).

Properties
- Total DFT energy (no corrections): -5.744 eV/atom
- V: 14.2 A^3/atom

Unit cell a=8.165 b=8.165 c=8.165 alpha=123.84 beta=106.32 gamma=99.33
Sites, in units of the cell vectors:
Tm (0.250, 0.250, 0.000)
Tm (0.750, 0.750, 0.000)
Mo (0.182, 0.642, 0.824)
Mo (0.318, 0.142, 0.461)
Mo (0.682, 0.858, 0.539)
Mo (0.818, 0.358, 0.176)
F (0.000, 0.500, 0.500)
F (0.041, 0.954, 0.275)
F (0.063, 0.364, 0.160)
F (0.178, 0.454, 0.913)
F (0.204, 0.903, 0.840)
F (0.215, 0.369, 0.583)
F (0.285, 0.869, 0.154)
F (0.296, 0.136, 0.699)
F (0.322, 0.235, 0.275)
F (0.437, 0.597, 0.301)
F (0.459, 0.735, 0.913)
F (0.500, 0.000, 0.500)
F (0.541, 0.265, 0.087)
F (0.563, 0.403, 0.699)
F (0.678, 0.765, 0.725)
F (0.704, 0.864, 0.301)
F (0.715, 0.131, 0.846)
F (0.785, 0.631, 0.417)
F (0.796, 0.097, 0.160)
F (0.822, 0.546, 0.087)
F (0.937, 0.636, 0.840)
F (0.959, 0.046, 0.725)

=====

# Tm2MoF11

An optimized crystal structure of Tm2MoF11 (GGA+U, Alexandria via LeMat-Bulk).

Properties
- Total DFT energy (no corrections): -5.944 eV/atom
- V: 14.6 A^3/atom

Unit cell a=8.231 b=8.231 c=8.231 alpha=123.33 beta=104.76 gamma=101.29
Sites, in units of the cell vectors:
Tm (0.181, 0.138, 0.319)
Tm (0.319, 0.638, 0.957)
Tm (0.681, 0.362, 0.043)
Tm (0.819, 0.862, 0.681)
Mo (0.250, 0.750, 0.500)
Mo (0.750, 0.250, 0.500)
F (0.000, 0.000, 0.000)
F (0.009, 0.438, 0.749)
F (0.080, 0.850, 0.640)
F (0.189, 0.938, 0.430)
F (0.210, 0.441, 0.360)
F (0.220, 0.872, 0.092)
F (0.280, 0.372, 0.652)
F (0.290, 0.650, 0.230)
F (0.311, 0.741, 0.749)
F (0.420, 0.059, 0.770)
F (0.491, 0.241, 0.430)
F (0.500, 0.500, 0.000)
F (0.509, 0.759, 0.570)
F (0.580, 0.941, 0.230)
F (0.689, 0.259, 0.251)
F (0.710, 0.350, 0.770)
F (0.720, 0.628, 0.348)
F (0.780, 0.128, 0.908)
F (0.790, 0.559, 0.640)
F (0.811, 0.062, 0.570)
F (0.920, 0.150, 0.360)
F (0.991, 0.562, 0.251)